1.
# Ti5VN6

A relaxed Ti5VN6 crystal (PBE, Alexandria via LeMat-Bulk).

The space group is C2/m (No. 12) and the conventional cell measures 5.183, 8.985 and 5.179 Å, with angles of 90.00, 109.46 and 90.00 degrees. The asymmetric unit holds Ti at (0.000, 0.000, 0.000), Ti at (0.000, 0.166, 0.500), Ti at (0.000, 0.336, 0.000), V at (0.000, 0.500, 0.500), N at (0.250, 0.000, 0.750) and N at (0.250, 0.167, 0.250).

Its total energy is -9.812 eV/atom. The value obtained for the density of states at the Fermi level is 0.4470 states/eV per atom.

***

2.
# SrFeBr

A relaxed SrFeBr crystal (PBE, Alexandria via LeMat-Bulk).

The space group is Fmm2 (No. 42) and the conventional cell measures 5.149, 5.162 and 12.243 Å, with angles of 90.00, 90.00 and 90.00 degrees. The asymmetric unit holds Sr at (0.000, 0.000, 0.000), Fe at (0.000, 0.000, 0.327) and Br at (0.000, 0.000, 0.662).

Its total energy is -3.957 eV/atom. The value obtained for the density of states at the Fermi level is 0.5510 states/eV per atom.

***

3.
# KYCl2

A relaxed KYCl2 crystal (PBE, Alexandria via LeMat-Bulk).

The space group is P4/mmm (No. 123) and the conventional cell measures 5.448, 5.448 and 3.904 Å, with angles of 90.00, 90.00 and 90.00 degrees. The asymmetric unit holds K at (0.000, 0.000, 0.000), Y at (0.500, 0.500, 0.500) and Cl at (0.000, 0.500, 0.500).

Its total energy is -4.274 eV/atom. The value obtained for the polymorph energy (0 for the lowest one) is 0.0157 eV/atom. The value obtained for the density of states at the Fermi level is 0.7896 states/eV per atom.

***

4.
# K2CuCl3

A relaxed K2CuCl3 crystal (PBE, Alexandria via LeMat-Bulk).

The space group is Pnma (No. 62) and the conventional cell measures 8.940, 4.193 and 17.161 Å, with angles of 90.00, 90.00 and 90.00 degrees. The asymmetric unit holds K at (0.085, 0.250, 0.212), K at (0.247, 0.750, 0.454), Cu at (0.131, 0.250, 0.635), Cl at (0.012, 0.750, 0.605), Cl at (0.137, 0.750, 0.072) and Cl at (0.175, 0.250, 0.771).

Its total energy is -3.411 eV/atom. The value obtained for the polymorph energy (0 for the lowest one) is 0.0041 eV/atom. The value obtained for the density of states at the Fermi level is 0.0000 states/eV per atom.

***

5.
# Te4As

A relaxed Te4As crystal (PBE, Alexandria via LeMat-Bulk).

The space group is I4/m (No. 87) and the conventional cell measures 9.574, 9.574 and 3.766 Å, with angles of 90.00, 90.00 and 90.00 degrees. The asymmetric unit holds Te at (0.135, 0.220, 0.000) and As at (0.000, 0.000, 0.500).

Its total energy is -3.202 eV/atom. The value obtained for the polymorph energy (0 for the lowest one) is 0.0000 eV/atom. The value obtained for the density of states at the Fermi level is 0.5482 states/eV per atom.

***

6.
# LaNiMo2

A relaxed LaNiMo2 crystal (PBE, Alexandria via LeMat-Bulk).

The space group is I4/mmm (No. 139) and the conventional cell measures 3.921, 3.921 and 9.687 Å, with angles of 90.00, 90.00 and 90.00 degrees. The asymmetric unit holds La at (0.000, 0.000, 0.000), Ni at (0.000, 0.000, 0.500) and Mo at (0.000, 0.500, 0.250).

Its total energy is -7.475 eV/atom. The value obtained for the formation energy is 0.6173 eV/atom. The value obtained for the polymorph energy (0 for the lowest one) is 0.4003 eV/atom. The value obtained for the density of states at the Fermi level is 1.5145 states/eV per atom.

***

7.
# InSb2N2

A relaxed InSb2N2 crystal (PBE, Alexandria via LeMat-Bulk).

The space group is I4/mmm (No. 139) and the conventional cell measures 4.910, 4.910 and 9.009 Å, with angles of 90.00, 90.00 and 90.00 degrees. The asymmetric unit holds In at (0.000, 0.000, 0.000), Sb at (0.000, 0.500, 0.250) and N at (0.000, 0.000, 0.233).

Its total energy is -4.639 eV/atom. The value obtained for the polymorph energy (0 for the lowest one) is 0.1320 eV/atom. The value obtained for the density of states at the Fermi level is 0.5111 states/eV per atom.

***

8.
# GeSbTe2O

A relaxed GeSbTe2O crystal (PBE, Alexandria via LeMat-Bulk).

The space group is P4/mmm (No. 123) and the conventional cell measures 4.858, 4.858 and 4.834 Å, with angles of 90.00, 90.00 and 90.00 degrees. The asymmetric unit holds Ge at (0.000, 0.000, 0.000), Sb at (0.500, 0.500, 0.000), Te at (0.000, 0.500, 0.500) and O at (0.500, 0.500, 0.500).

Its total energy is -3.831 eV/atom. The value obtained for the polymorph energy (0 for the lowest one) is 0.0000 eV/atom. The value obtained for the density of states at the Fermi level is 0.4733 states/eV per atom.

***

9.
# V2CoNiH

A relaxed V2CoNiH crystal (PBE, Alexandria via LeMat-Bulk).

The space group is P4/mmm (No. 123) and the conventional cell measures 3.692, 3.692 and 3.627 Å, with angles of 90.00, 90.00 and 90.00 degrees. The asymmetric unit holds V at (0.000, 0.500, 0.000), Co at (0.000, 0.000, 0.500), Ni at (0.500, 0.500, 0.500) and H at (0.500, 0.500, 0.000).

Its total energy is -7.022 eV/atom. The value obtained for the polymorph energy (0 for the lowest one) is 0.0153 eV/atom. The value obtained for the density of states at the Fermi level is 0.9981 states/eV per atom.

***

10.
# KLiTa2

A relaxed KLiTa2 crystal (PBE, Alexandria via LeMat-Bulk).

The space group is C2/m (No. 12) and the conventional cell measures 13.243, 2.791 and 5.044 Å, with angles of 90.00, 112.26 and 90.00 degrees. The asymmetric unit holds K at (0.000, 0.000, 0.000), Li at (0.000, 0.500, 0.500) and Ta at (0.223, 0.000, 0.723).

Its total energy is -5.811 eV/atom. The value obtained for the formation energy is 0.8681 eV/atom. The value obtained for the polymorph energy (0 for the lowest one) is 0.2827 eV/atom. The value obtained for the density of states at the Fermi level is 0.9777 states/eV per atom.

***

11.
# Be4Cu

A relaxed Be4Cu crystal (PBE, Alexandria via LeMat-Bulk).

The space group is Fmmm (No. 69) and the conventional cell measures 4.257, 6.396 and 7.169 Å, with angles of 90.00, 90.00 and 90.00 degrees. The asymmetric unit holds Be at (0.000, 0.163, 0.000), Be at (0.250, 0.250, 0.250) and Cu at (0.000, 0.000, 0.500).

Its total energy is -3.615 eV/atom. The value obtained for the formation energy is 0.1847 eV/atom. The value obtained for the polymorph energy (0 for the lowest one) is 0.2081 eV/atom. The value obtained for the density of states at the Fermi level is 0.3567 states/eV per atom.

***

12.
# Zr3VSe

A relaxed Zr3VSe crystal (PBE, Alexandria via LeMat-Bulk).

The space group is Pm-3m (No. 221) and the conventional cell measures 4.897, 4.897 and 4.897 Å, with angles of 90.00, 90.00 and 90.00 degrees. The asymmetric unit holds Zr at (0.000, 0.000, 0.500), V at (0.000, 0.000, 0.000) and Se at (0.500, 0.500, 0.500).

Its total energy is -7.153 eV/atom. The value obtained for the polymorph energy (0 for the lowest one) is 0.2565 eV/atom. The value obtained for the density of states at the Fermi level is 1.6634 states/eV per atom.